Record 1
The following is a DFT calculation (GGA-PBE) of Mg3Cd5Sn after structural relaxation.

a b c (Å): 8.8741 8.8741 8.5024
angles (deg): 121.46 121.46 90.00
Closest atoms and distances in Å follow each position.
Fractional positions:
Mg1 0.6120 0.1120 0.0000  2 Cd 2.78, 1 Mg 2.81
Mg2 0.3880 0.8880 0.0000  2 Cd 2.78, 1 Mg 2.81
Mg3 0.8880 0.6120 0.0000  2 Cd 2.78, 1 Mg 2.81
Mg4 0.1120 0.3880 0.0000  2 Cd 2.78, 1 Mg 2.81
Mg5 0.2500 0.2500 0.5000  2 Cd 2.87
Mg6 0.7500 0.7500 0.5000  2 Cd 2.87
Cd1 0.0700 0.5700 0.7349  1 Mg 2.78, 1 Sn 2.88, 2 Cd 2.95-3.04
Cd2 0.6649 0.1649 0.7349  1 Mg 2.78, 1 Sn 2.88, 2 Cd 2.95-3.04
Cd3 0.1649 0.0700 0.7349  1 Mg 2.78, 1 Sn 2.88, 2 Cd 2.95-3.04
Cd4 0.5700 0.6649 0.7349  1 Mg 2.78, 1 Sn 2.88, 2 Cd 2.95-3.04
Cd5 0.9300 0.4300 0.2651  1 Mg 2.78, 1 Sn 2.88, 2 Cd 2.95-3.04
Cd6 0.3351 0.8351 0.2651  1 Mg 2.78, 1 Sn 2.88, 2 Cd 2.95-3.04
Cd7 0.8351 0.9300 0.2651  1 Mg 2.78, 1 Sn 2.88, 2 Cd 2.95-3.04
Cd8 0.4300 0.3351 0.2651  1 Mg 2.78, 1 Sn 2.88, 2 Cd 2.95-3.04
Cd9 0.5000 0.5000 0.0000  2 Mg 2.87
Cd10 0.0000 0.0000 0.0000  2 Mg 2.87
Sn1 0.7500 0.2500 0.5000  4 Cd 2.88, 4 Mg 3.19
Sn2 0.2500 0.7500 0.5000  4 Cd 2.88, 4 Mg 3.19

Values from the calculation:
E_form = 0.082 eV per atom
Magnetization = 0.00 Bohr magnetons per cell

Record 2
The following is a DFT calculation (GGA-PBE) of Mg2Cd7Sn2 after structural relaxation.

a b c (Å): 7.5452 6.0870 6.0870
angles (deg): 104.24 88.76 88.76
Closest atoms and distances in Å follow each position.
Fractional positions:
Mg1 0.0000 0.2814 0.7186  8 Cd 3.04-3.14, 2 Sn 3.24
Mg2 0.0000 0.7186 0.2814  8 Cd 3.04-3.14, 2 Sn 3.24
Cd1 0.6816 0.0603 0.4637  3 Cd 2.91-3.11, 2 Mg 3.04-3.14, 2 Sn 3.11-3.19
Cd2 0.3184 0.5363 0.9397  3 Cd 2.91-3.11, 2 Mg 3.04-3.14, 2 Sn 3.11-3.19
Cd3 0.3184 0.9397 0.5363  3 Cd 2.91-3.11, 2 Mg 3.04-3.14, 2 Sn 3.11-3.19
Cd4 0.6816 0.4637 0.0603  3 Cd 2.91-3.11, 2 Mg 3.04-3.14, 2 Sn 3.11-3.19
Cd5 0.5000 0.0000 0.0000  4 Cd 3.11, 2 Sn 3.25
Cd6 0.0263 0.8085 0.8085  3 Cd 2.88-2.97, 1 Sn 3.05, 4 Mg 3.06-3.13
Cd7 0.9737 0.1915 0.1915  3 Cd 2.88-2.97, 1 Sn 3.05, 4 Mg 3.06-3.13
Sn1 0.3139 0.3988 0.3988  6 Cd 3.05-3.25, 2 Mg 3.24, 1 Sn 3.24
Sn2 0.6861 0.6012 0.6012  6 Cd 3.05-3.25, 2 Mg 3.24, 1 Sn 3.24

Values from the calculation:
E_form = 0.021 eV per atom
Magnetization = 0.00 Bohr magnetons per cell

Record 3
The following is a DFT calculation (GGA-PBE) of MgCd4Sn after structural relaxation.

a b c (Å): 5.5892 9.4475 8.3861
angles (deg): 105.61 79.02 139.27
Closest atoms and distances in Å follow each position.
Fractional positions:
Mg1 0.4299 0.1748 0.9152  7 Cd 3.09-3.31, 4 Sn 3.16-3.20, 1 Mg 3.45
Mg2 0.5701 0.8252 0.0848  7 Cd 3.09-3.31, 4 Sn 3.16-3.20, 1 Mg 3.45
Cd1 0.4263 0.6706 0.4187  9 Cd 3.04-3.30, 1 Sn 3.16, 1 Mg 3.19
Cd2 0.7559 0.9945 0.7478  7 Cd 3.04-3.30, 2 Sn 3.08-3.34, 3 Mg 3.17-3.26
Cd3 0.1014 0.8408 0.5828  9 Cd 3.04-3.23, 1 Mg 3.09, 1 Sn 3.21
Cd4 0.7572 0.5052 0.2590  6 Cd 3.04-3.22, 2 Mg 3.15-3.31, 3 Sn 3.23-3.29
Cd5 0.5737 0.3294 0.5813  9 Cd 3.04-3.30, 1 Sn 3.16, 1 Mg 3.19
Cd6 0.8986 0.1592 0.4172  9 Cd 3.04-3.23, 1 Mg 3.09, 1 Sn 3.21
Cd7 0.2441 0.0055 0.2522  7 Cd 3.04-3.30, 2 Sn 3.08-3.34, 3 Mg 3.17-3.26
Cd8 0.2428 0.4948 0.7410  6 Cd 3.04-3.22, 2 Mg 3.15-3.31, 3 Sn 3.23-3.29
Sn1 0.9295 0.6774 0.9180  7 Cd 3.08-3.34, 4 Mg 3.16-3.20, 1 Sn 3.43
Sn2 0.0705 0.3226 0.0820  7 Cd 3.08-3.34, 4 Mg 3.16-3.20, 1 Sn 3.43

Values from the calculation:
E_form = -0.027 eV per atom
Magnetization = 0.00 Bohr magnetons per cell